A plane-wave DFT calculation with GGA-PBE was carried out for crystalline Tb3Ce4PmS8 at its relaxed geometry.

ΔE_f (raw): -2.04 eV per atom

Cell: 7.9634 7.9634 19.6276 Å, 90.00 90.00 120.00°
Space group R-3m (No. 166, hexagonal axes)
Unique sites:
Tb 0.0000 0.5000 0.0000 [9 per cell]
Ce 0.0000 0.0000 0.5000 [3 per cell]
Ce 0.0000 0.5000 0.5000 [9 per cell]
Pm 0.0000 0.0000 0.0000 [3 per cell]
S 0.0000 0.0000 0.2532 [6 per cell]
S 0.0045 0.5023 0.2521 [18 per cell]


A plane-wave DFT calculation with GGA-PBE was carried out for crystalline ZrVCr at its relaxed geometry.

ΔE_f: 0.157 eV/atom
ΔE to the lowest computed polymorph: 0.184 eV per atom

Cell: 3.050 5.125 6.826 Å, 68.21 78.54 76.07°
Space group P1 (No. 1)
Unique sites:
Zr 0.000 0.000 0.000 [1 per cell]
Zr 0.362 0.546 0.811 [1 per cell]
V 0.337 0.998 0.362 [1 per cell]
V 0.653 0.478 0.219 [1 per cell]
Cr 0.009 0.514 0.480 [1 per cell]
Cr 0.691 0.065 0.613 [1 per cell]


A plane-wave DFT calculation with GGA-PBE was carried out for crystalline TlCdBi2 at its relaxed geometry.

ΔE_f: 0.100 eV/atom
ΔE to the lowest computed polymorph: 0.058 eV per atom

Cell: 5.1321 5.1321 17.3604 Å, 90.00 90.00 120.00°
Space group R3m (No. 160, hexagonal axes)
Unique sites:
Tl 0.0000 0.0000 0.0000 [3 per cell]
Cd 0.0000 0.0000 0.1848 [3 per cell]
Bi 0.0000 0.0000 0.5800 [3 per cell]
Bi 0.0000 0.0000 0.7688 [3 per cell]


A plane-wave DFT calculation with GGA-PBE was carried out for crystalline Li6ZnCu5 at its relaxed geometry.

ΔE_f: -0.029 eV/atom

Cell: 9.386 8.506 4.262 Å, 90.00 112.03 90.00°
Space group C2/m (No. 12)
Unique sites:
Li 0.245 0.169 0.246 [8 per cell]
Li 0.248 0.000 0.750 [4 per cell]
Zn 0.000 0.500 0.500 [2 per cell]
Cu 0.000 0.000 0.000 [2 per cell]
Cu 0.000 0.167 0.500 [4 per cell]
Cu 0.000 0.332 0.000 [4 per cell]


A plane-wave DFT calculation with GGA-PBE was carried out for crystalline Li3TiSn at its relaxed geometry.

ΔE_f: 0.621 eV/atom
ΔE to the lowest computed polymorph: 0.000 eV per atom

Cell: 4.808 4.808 4.808 Å, 90.00 90.00 90.00°
Space group Pm-3m (No. 221)
Unique sites:
Li 0.000 0.000 0.500 [3 per cell]
Ti 0.500 0.500 0.500 [1 per cell]
Sn 0.000 0.000 0.000 [1 per cell]


A plane-wave DFT calculation with GGA-PBE was carried out for crystalline LiFe2Hg at its relaxed geometry.

ΔE_f: 0.300 eV/atom

Cell: 5.046 9.478 2.756 Å, 90.00 117.41 90.00°
Space group C2/m (No. 12)
Unique sites:
Li 0.000 0.000 0.000 [2 per cell]
Fe 0.250 0.250 0.500 [4 per cell]
Hg 0.000 0.500 0.000 [2 per cell]


A plane-wave DFT calculation with GGA-PBE was carried out for crystalline Ta2SbTe at its relaxed geometry.

ΔE_f (raw): 0.56 eV per atom
ΔE to the lowest computed polymorph: 0.620 eV per atom

Cell: 6.962 6.962 6.962 Å, 90.00 90.00 90.00°
Space group F-43m (No. 216)
Unique sites:
Ta 0.000 0.000 0.000 [4 per cell]
Ta 0.250 0.250 0.250 [4 per cell]
Sb 0.000 0.000 0.500 [4 per cell]
Te 0.250 0.250 0.750 [4 per cell]


A plane-wave DFT calculation with GGA-PBE was carried out for crystalline Pu2FeCuSi6 at its relaxed geometry.

ΔE_f (raw): -0.29 eV per atom

Cell: 5.8185 5.8185 33.6591 Å, 90.00 90.00 120.00°
Space group R-3m (No. 166, hexagonal axes)
Unique sites:
Pu 0.0000 0.0000 0.1091 [6 per cell]
Pu 0.0000 0.0000 0.2862 [6 per cell]
Fe 0.0000 0.0000 0.0000 [3 per cell]
Fe 0.0000 0.0000 0.5000 [3 per cell]
Cu 0.0000 0.0000 0.4268 [6 per cell]
Si 0.0543 0.5271 0.2983 [18 per cell]
Si 0.0650 0.5325 0.8654 [18 per cell]


A plane-wave DFT calculation with GGA-PBE was carried out for crystalline ReAs2O8 at its relaxed geometry.

ΔE_f (raw): -1.01 eV per atom

Cell: 13.042 5.540 4.904 Å, 90.00 90.40 90.00°
Space group C2/m (No. 12)
Unique sites:
Re 0.000 0.000 0.000 [2 per cell]
As 0.155 0.000 0.596 [4 per cell]
O 0.078 0.224 0.772 [8 per cell]
O 0.112 0.000 0.253 [4 per cell]
O 0.220 0.500 0.369 [4 per cell]


A plane-wave DFT calculation with GGA-PBE was carried out for crystalline Sc2P2Br at its relaxed geometry.

ΔE_f (raw): -0.80 eV per atom
ΔE to the lowest computed polymorph: 0.284 eV per atom

Cell: 3.763 3.763 14.014 Å, 90.00 90.00 90.00°
Space group I4/mmm (No. 139)
Unique sites:
Sc 0.000 0.000 0.121 [4 per cell]
P 0.000 0.500 0.250 [4 per cell]
Br 0.000 0.000 0.500 [2 per cell]


A plane-wave DFT calculation with GGA-PBE was carried out for crystalline KCaTa at its relaxed geometry.

ΔE_f: 0.647 eV/atom
ΔE to the lowest computed polymorph: 0.315 eV per atom

Cell: 3.417 6.038 11.594 Å, 77.53 82.53 73.57°
Space group P-1 (No. 2)
Unique sites:
K 0.189 0.291 0.370 [2 per cell]
Ca 0.493 0.142 0.852 [2 per cell]
Ta 0.205 0.644 0.940 [2 per cell]


A plane-wave DFT calculation with GGA-PBE was carried out for crystalline Al3SeI at its relaxed geometry.

ΔE_f (raw): 0.46 eV per atom
ΔE to the lowest computed polymorph: 0.000 eV per atom

Cell: 5.347 5.347 5.347 Å, 90.00 90.00 90.00°
Space group Pm-3m (No. 221)
Unique sites:
Al 0.000 0.000 0.500 [3 per cell]
Se 0.000 0.000 0.000 [1 per cell]
I 0.500 0.500 0.500 [1 per cell]